Model A:
Computed, not measured: a geometry-optimized EuHo2Tl structure at the PBE-GGA level of DFT.

Computed properties:
**Crystal system**: tetragonal

Lattice parameters (Å, degrees): 3.6689 3.6689 9.3500 90.00 90.00 90.00
Space group P4/mmm (No. 123)
Symmetry-distinct sites (fractional):
Eu 0.0000 0.0000 0.0000
Ho 0.5000 0.5000 0.2873
Tl 0.0000 0.0000 0.5000



Model B:
Computed, not measured: a geometry-optimized EuHo2Tl structure at the PBE-GGA level of DFT.

Computed properties:
**Crystal system**: cubic

Lattice parameters (Å, degrees): 7.7861 7.7861 7.7861 90.00 90.00 90.00
Space group Fm-3m (No. 225)
Symmetry-distinct sites (fractional):
Eu 0.0000 0.0000 0.0000
Ho 0.2500 0.2500 0.2500
Tl 0.0000 0.0000 0.5000



Model C:
Computed, not measured: a geometry-optimized EuHo2Tl structure at the PBE-GGA level of DFT.

Computed properties:
**Crystal system**: tetragonal

Lattice parameters (Å, degrees): 4.9569 4.9569 4.8095 90.00 90.00 90.00
Space group P4/mmm (No. 123)
Symmetry-distinct sites (fractional):
Eu 0.0000 0.0000 0.0000
Ho 0.0000 0.5000 0.5000
Tl 0.5000 0.5000 0.0000



Stability ranking, top and bottom: model C is the most stable and model B is the least stable.